BiAs2PbBr | PBE | relaxed

Computed properties:
The polymorph energy (0 for the lowest one) is 0.0000 eV/atom. The value obtained for the uncorrected formation energy is 0.4736 eV/atom. Its space group is P4/mmm (123).

a b c (Å): 5.486 5.486 5.631
angles (deg): 90.00 90.00 90.00
Positions (direct):
Bi 0.000 0.000 0.000
As 0.000 0.500 0.000
As 0.500 0.000 0.000
Pb 0.500 0.500 0.500
Br 0.000 0.000 0.500

***

GaGe3F | PBE | relaxed

Computed properties:
The polymorph energy (0 for the lowest one) is 0.3363 eV/atom. The value obtained for the uncorrected formation energy is 0.3799 eV/atom. Its space group is Pm-3m (221).

a b c (Å): 4.948 4.948 4.948
angles (deg): 90.00 90.00 90.00
Positions (direct):
Ga 0.000 0.000 0.000
Ge 0.000 0.000 0.500
Ge 0.000 0.500 0.000
Ge 0.500 0.000 0.000
F 0.500 0.500 0.500

***

LaTlCo2 | PBE | relaxed

Computed properties:
The polymorph energy (0 for the lowest one) is 0.3425 eV/atom. The value obtained for the calculated formation energy is 0.32 eV per atom. Its space group is I-4m2 (119).

a b c (Å): 5.735 5.735 5.735
angles (deg): 140.38 140.38 57.27
Positions (direct):
La 0.000 0.000 0.000
Tl 0.250 0.750 0.500
Co 0.500 0.500 0.000
Co 0.750 0.250 0.500

***

Li2ZnGaRh | PBE | relaxed

Computed properties:
The value obtained for the calculated formation energy is 0.53 eV per atom. Its space group is P4/mmm (123).

a b c (Å): 4.419 4.419 4.517
angles (deg): 90.00 90.00 90.00
Positions (direct):
Li 0.000 0.500 0.000
Li 0.500 0.000 0.000
Zn 0.000 0.000 0.500
Ga 0.000 0.000 0.000
Rh 0.500 0.500 0.500

***

Al2Cl3 | PBE | relaxed

Computed properties:
The value obtained for the uncorrected formation energy is -0.4679 eV/atom. Its space group is P-3m1 (164).

a b c (Å): 4.684 4.684 6.079
angles (deg): 90.00 90.00 120.00
Positions (direct):
Al 0.333 0.667 0.280
Al 0.667 0.333 0.720
Cl 0.000 0.000 0.500
Cl 0.333 0.667 0.852
Cl 0.667 0.333 0.148

***

Cs2Sn3S8 | PBE | relaxed

Computed properties:
The value obtained for the uncorrected formation energy is -0.4662 eV/atom. Its space group is C2/m (12).

a b c (Å): 9.669 9.669 6.757
angles (deg): 106.83 106.83 44.63
Positions (direct):
Cs 0.233 0.233 0.207
Cs 0.767 0.767 0.793
Sn 0.246 0.754 0.500
Sn 0.500 0.500 0.000
Sn 0.754 0.246 0.500
S 0.088 0.088 0.436
S 0.201 0.613 0.117
S 0.387 0.799 0.883
S 0.415 0.415 0.609
S 0.585 0.585 0.391
S 0.613 0.201 0.117
S 0.799 0.387 0.883
S 0.912 0.912 0.564

***

Na2Te2Au | PBE | relaxed

Computed properties:
The polymorph energy (0 for the lowest one) is 0.0000 eV/atom. The value obtained for the uncorrected formation energy is -0.5521 eV/atom. Its space group is C2/m (12).

a b c (Å): 6.216 6.216 11.375
angles (deg): 109.56 109.56 44.47
Positions (direct):
Na 0.042 0.042 0.351
Na 0.167 0.167 0.082
Na 0.833 0.833 0.918
Na 0.958 0.958 0.649
Te 0.335 0.335 0.371
Te 0.461 0.461 0.113
Te 0.539 0.539 0.887
Te 0.665 0.665 0.629
Au 0.288 0.288 0.710
Au 0.712 0.712 0.290

***

NaTlAs2O8 | PBE | relaxed

Computed properties:
The value obtained for the uncorrected formation energy is -0.8416 eV/atom. Its space group is R32 (155).

a b c (Å): 8.200 8.200 8.200
angles (deg): 37.21 37.21 37.21
Positions (direct):
Na 0.000 0.000 0.000
Tl 0.500 0.500 0.500
As 0.248 0.248 0.248
As 0.752 0.752 0.752
O 0.085 0.452 0.781
O 0.219 0.548 0.915
O 0.323 0.323 0.323
O 0.452 0.781 0.085
O 0.548 0.915 0.219
O 0.677 0.677 0.677
O 0.781 0.085 0.452
O 0.915 0.219 0.548

***

CeThSn2 | PBE | relaxed

Computed properties:
The value obtained for the calculated formation energy is -0.36 eV per atom. Its space group is R-3m (166).

a b c (Å): 11.036 11.036 11.036
angles (deg): 18.15 18.15 18.15
Positions (direct):
Ce 0.000 0.000 0.000
Th 0.500 0.500 0.500
Sn 0.251 0.251 0.251
Sn 0.749 0.749 0.749

***

K3TiIr | PBE | relaxed

Computed properties:
The polymorph energy (0 for the lowest one) is 0.0000 eV/atom. The value obtained for the calculated formation energy is 1.38 eV per atom. Its space group is Pm-3m (221).

a b c (Å): 6.139 6.139 6.139
angles (deg): 90.00 90.00 90.00
Positions (direct):
K 0.000 0.000 0.500
K 0.000 0.500 0.000
K 0.500 0.000 0.000
Ti 0.500 0.500 0.500
Ir 0.000 0.000 0.000

***

ErMgNiPt | PBE | relaxed

Computed properties:
The value obtained for the calculated formation energy is -0.70 eV per atom. Its space group is F-43m (216).

a b c (Å): 4.649 4.649 4.649
angles (deg): 60.00 60.00 60.00
Positions (direct):
Er 0.000 0.000 0.000
Mg 0.500 0.500 0.500
Ni 0.750 0.750 0.750
Pt 0.250 0.250 0.250

***

PrDySiPd | PBE | relaxed

Computed properties:
The value obtained for the uncorrected formation energy is -0.6456 eV/atom. Its space group is F-43m (216).

a b c (Å): 5.091 5.091 5.091
angles (deg): 60.00 60.00 60.00
Positions (direct):
Pr 0.000 0.000 0.000
Dy 0.500 0.500 0.500
Si 0.750 0.750 0.750
Pd 0.250 0.250 0.250